{
  "formula": "SrHf2V",
  "functional": "PBE-GGA",
  "state": "optimized geometry",
  "cell": [[-3.7255, 3.7255, 5.2286], [3.7255, -3.7255, 5.2286], [3.7255, 3.7255, -5.2286]],
  "species": ["Sr", "Sr", "Hf", "Hf", "Hf", "Hf", "V", "V"],
  "frac_coords": [[0.3750, 0.6250, 0.7500], [0.6250, 0.3750, 0.2500], [0.0000, 0.0000, 0.0000], [0.0000, 0.0000, 0.5000], [0.0000, 0.5000, 0.0000], [0.5000, 0.0000, 0.5000], [0.1250, 0.8750, 0.2500], [0.8750, 0.1250, 0.7500]],
  "relative_energy_kcal_per_mol_atoms": 11.08,
  "dos_at_fermi_per_ev_cell": 7.17,
  "energy_ev_per_atom": -6.379,
  "magnetic_moment_mub_per_cell": 0.00,
  "delta_e_f_ev_per_atom": 1.298
}

=====

{
  "formula": "Cs2Rb4Cd2Hg",
  "functional": "PBE-GGA",
  "state": "optimized geometry",
  "cell": [[7.5068, 0.0000, 0.0000], [-3.4998, 7.9728, 0.0000], [-2.2485, -2.5668, 10.3906]],
  "species": ["Cs", "Cs", "Rb", "Rb", "Rb", "Rb", "Cd", "Cd", "Hg"],
  "frac_coords": [[0.1809, 0.2225, 0.1968], [0.8191, 0.7775, 0.8032], [0.0562, 0.3131, 0.6149], [0.4417, 0.8055, 0.1522], [0.5583, 0.1945, 0.8478], [0.9438, 0.6869, 0.3851], [0.4455, 0.6407, 0.4670], [0.5545, 0.3593, 0.5330], [0.5000, 0.0000, 0.5000]],
  "dos_at_fermi_per_ev_cell": 6.53,
  "energy_ev_per_atom": -0.900,
  "magnetic_moment_mub_per_cell": 0.00,
  "delta_e_f_ev_per_atom": -0.044
}

=====

{
  "formula": "Mn4ZnIn",
  "functional": "PBE-GGA",
  "state": "optimized geometry",
  "cell": [[0.0000, 3.4343, 3.4343], [3.4343, 0.0000, 3.4343], [3.4343, 3.4343, 0.0000]],
  "species": ["Mn", "Mn", "Mn", "Mn", "Zn", "In"],
  "frac_coords": [[0.1243, 0.1243, 0.1243], [0.1243, 0.1243, 0.6272], [0.1243, 0.6272, 0.1243], [0.6272, 0.1243, 0.1243], [0.7500, 0.7500, 0.7500], [0.5000, 0.5000, 0.5000]],
  "dos_at_fermi_per_ev_cell": 7.93,
  "energy_ev_per_atom": -6.460,
  "magnetic_moment_mub_per_cell": 5.16,
  "delta_e_f_ev_per_atom": 0.322
}

=====

{
  "formula": "LiMgB2Te",
  "functional": "PBE-GGA",
  "state": "optimized geometry",
  "cell": [[4.5720, 0.0000, 0.0000], [0.0000, 4.5720, 0.0000], [0.0000, 0.0000, 4.8911]],
  "species": ["Li", "Mg", "B", "B", "Te"],
  "frac_coords": [[0.0000, 0.0000, 0.0000], [0.5000, 0.5000, 0.0000], [0.0000, 0.5000, 0.5000], [0.5000, 0.0000, 0.5000], [0.0000, 0.0000, 0.5000]],
  "dos_at_fermi_per_ev_cell": 3.80,
  "energy_ev_per_atom": -2.596,
  "magnetic_moment_mub_per_cell": 0.00
}

=====

{
  "formula": "Y2C",
  "functional": "PBE-GGA",
  "state": "optimized geometry",
  "cell": [[3.5434, 0.0000, 0.0000], [-1.7717, 3.0687, 0.0000], [0.0000, 0.0000, 6.3452]],
  "species": ["Y", "Y", "C"],
  "frac_coords": [[0.0000, 0.0000, 0.2268], [0.0000, 0.0000, 0.7732], [0.3333, 0.6667, 0.0000]],
  "dos_at_fermi_per_ev_cell": 2.24,
  "energy_ev_per_atom": -7.322,
  "magnetic_moment_mub_per_cell": 0.00,
  "delta_e_f_ev_per_atom": 0.062
}

=====

{
  "formula": "HoSc4",
  "functional": "PBE-GGA",
  "state": "optimized geometry",
  "cell": [[5.2216, 0.0000, 0.0000], [0.0000, 5.2216, 0.0000], [0.0000, 0.0000, 5.2216]],
  "species": ["Ho", "Sc", "Sc", "Sc", "Sc"],
  "frac_coords": [[0.0000, 0.0000, 0.0000], [0.0000, 0.0000, 0.5000], [0.0000, 0.5000, 0.0000], [0.5000, 0.0000, 0.0000], [0.5000, 0.5000, 0.5000]],
  "relative_energy_kcal_per_mol_atoms": 18.59,
  "dos_at_fermi_per_ev_cell": 8.08,
  "energy_ev_per_atom": -5.118,
  "magnetic_moment_mub_per_cell": 0.01,
  "delta_e_f_ev_per_atom": 0.863
}

=====

{
  "formula": "Ho2Co4C",
  "functional": "PBE-GGA",
  "state": "optimized geometry",
  "cell": [[-1.9073, 1.9073, 7.2304], [1.9073, -1.9073, 7.2304], [1.9073, 1.9073, -7.2304]],
  "species": ["Ho", "Ho", "Co", "Co", "Co", "Co", "C"],
  "frac_coords": [[0.1631, 0.1631, 0.0000], [0.8369, 0.8369, 0.0000], [0.0000, 0.5000, 0.5000], [0.3739, 0.3739, 0.0000], [0.5000, 0.0000, 0.5000], [0.6261, 0.6261, 0.0000], [0.5000, 0.5000, 0.0000]],
  "dos_at_fermi_per_ev_cell": 8.10,
  "energy_ev_per_atom": -6.769,
  "magnetic_moment_mub_per_cell": 1.51,
  "delta_e_f_ev_per_atom": -0.083
}

=====

{
  "formula": "Tm4AlCd2",
  "functional": "PBE-GGA",
  "state": "optimized geometry",
  "cell": [[-4.5397, 4.5397, 4.5342], [4.5397, -4.5397, 4.5342], [4.5397, 4.5397, -4.5342]],
  "species": ["Tm", "Tm", "Tm", "Tm", "Tm", "Tm", "Tm", "Tm", "Al", "Al", "Cd", "Cd", "Cd", "Cd"],
  "frac_coords": [[0.1336, 0.0261, 0.7476], [0.1360, 0.5285, 0.7524], [0.2785, 0.3860, 0.2524], [0.4715, 0.2239, 0.6075], [0.6140, 0.8664, 0.8925], [0.6164, 0.8640, 0.3925], [0.7761, 0.3836, 0.2476], [0.9739, 0.7215, 0.1075], [0.2500, 0.7500, 0.5000], [0.5000, 0.5000, 0.0000], [0.3750, 0.0086, 0.1336], [0.7586, 0.6250, 0.6336], [0.8750, 0.2414, 0.8664], [0.9914, 0.1250, 0.3664]],
  "relative_energy_kcal_per_mol_atoms": 0.77,
  "dos_at_fermi_per_ev_cell": 18.13,
  "energy_ev_per_atom": -3.468,
  "magnetic_moment_mub_per_cell": 0.00,
  "delta_e_f_ev_per_atom": -0.116
}

=====

{
  "formula": "RbLiSn3",
  "functional": "PBE-GGA",
  "state": "optimized geometry",
  "cell": [[5.3019, 0.0000, 0.0000], [0.0000, 5.3019, 0.0000], [0.0000, 0.0000, 5.3019]],
  "species": ["Rb", "Li", "Sn", "Sn", "Sn"],
  "frac_coords": [[0.0000, 0.0000, 0.0000], [0.5000, 0.5000, 0.5000], [0.0000, 0.5000, 0.5000], [0.5000, 0.0000, 0.5000], [0.5000, 0.5000, 0.0000]],
  "relative_energy_kcal_per_mol_atoms": 6.30,
  "dos_at_fermi_per_ev_cell": 2.96,
  "energy_ev_per_atom": -2.931,
  "magnetic_moment_mub_per_cell": 0.00,
  "delta_e_f_ev_per_atom": 0.047
}

=====

{
  "formula": "Pm8Ga3SiBr4",
  "functional": "PBE-GGA",
  "state": "optimized geometry",
  "cell": [[4.2842, 2.4735, 7.1439], [-4.2842, 2.4735, 7.1439], [0.0000, -4.9469, 7.1439]],
  "species": ["Pm", "Pm", "Pm", "Pm", "Pm", "Pm", "Pm", "Pm", "Ga", "Ga", "Ga", "Si", "Br", "Br", "Br", "Br"],
  "frac_coords": [[0.2417, 0.2417, 0.2417], [0.2432, 0.7386, 0.7386], [0.2614, 0.2614, 0.7568], [0.2614, 0.7568, 0.2614], [0.7386, 0.2432, 0.7386], [0.7386, 0.7386, 0.2432], [0.7568, 0.2614, 0.2614], [0.7583, 0.7583, 0.7583], [0.0000, 0.0000, 0.5000], [0.0000, 0.5000, 0.0000], [0.5000, 0.0000, 0.0000], [0.5000, 0.5000, 0.5000], [0.0000, 0.0000, 0.0000], [0.0000, 0.5000, 0.5000], [0.5000, 0.0000, 0.5000], [0.5000, 0.5000, 0.0000]],
  "dos_at_fermi_per_ev_cell": 6.20,
  "energy_ev_per_atom": -4.637,
  "magnetic_moment_mub_per_cell": 0.00
}

=====

{
  "formula": "Ca2TeHO6",
  "functional": "PBE-GGA",
  "state": "optimized geometry",
  "cell": [[5.6574, 0.0000, 0.0000], [2.7201, 5.0605, 0.0000], [2.7536, 1.6620, 5.3218]],
  "species": ["Ca", "Ca", "Te", "H", "O", "O", "O", "O", "O", "O"],
  "frac_coords": [[0.0000, 0.0000, 0.0000], [0.4776, 0.4650, 0.5673], [0.7966, 0.7755, 0.6260], [0.0466, 0.1505, 0.3808], [0.0381, 0.7282, 0.7889], [0.1213, 0.6174, 0.3705], [0.4556, 0.0186, 0.7837], [0.6448, 0.8428, 0.3645], [0.7179, 0.4405, 0.8113], [0.8804, 0.1511, 0.3674]],
  "dos_at_fermi_per_ev_cell": 0.19,
  "energy_ev_per_atom": -5.789,
  "magnetic_moment_mub_per_cell": 1.05
}

=====

{
  "formula": "MgZnS2",
  "functional": "PBE-GGA",
  "state": "optimized geometry",
  "cell": [[3.9431, 0.0000, 0.0000], [0.0000, 6.4148, 0.0000], [-0.0039, 0.0000, 6.8456]],
  "species": ["Mg", "Mg", "Zn", "Zn", "S", "S", "S", "S"],
  "frac_coords": [[0.9996, 0.0000, 0.1712], [0.0004, 0.5000, 0.8288], [0.4990, 0.5000, 0.3357], [0.5010, 0.0000, 0.6643], [0.0009, 0.1149, 0.8270], [0.4998, 0.1313, 0.3427], [0.5002, 0.6313, 0.6573], [0.9991, 0.6149, 0.1730]],
  "dos_at_fermi_per_ev_cell": 0.00,
  "energy_ev_per_atom": -3.886,
  "magnetic_moment_mub_per_cell": 0.00
}